Record 1
Tm3Ge3Ru: optimized geometry, PBE.

formation energy	-0.82	eV per atom
M_tot	0.0	Bohr magnetons per cell
uncorrected energy	-6.037	eV per atom

Cell lengths 10.636, 4.234, 13.694 Å; angles 90.00, 110.34, 90.00 degrees
Space group C2/m (No. 12)
Symmetry-distinct sites (fractional):
Tm1 0.023 0.000 0.377 (multiplicity 4)
Tm2 0.099 0.000 0.920 (multiplicity 4)
Tm3 0.242 0.000 0.230 (multiplicity 4)
Ge1 0.041 0.500 0.238 (multiplicity 4)
Ge2 0.125 0.500 0.074 (multiplicity 4)
Ge3 0.134 0.500 0.545 (multiplicity 4)
Ru1 0.246 0.500 0.412 (multiplicity 4)


Record 2
Th2PaTi: optimized geometry, PBE.

formation energy	0.15	eV per atom
M_tot	0.0	Bohr magnetons per cell
offset from the most stable computed form	0	meV/atom
uncorrected energy	-7.911	eV per atom

Cell lengths 3.572, 3.572, 8.220 Å; angles 90.00, 90.00, 90.00 degrees
Space group P4/mmm (No. 123)
Symmetry-distinct sites (fractional):
Th1 0.000 0.000 0.230 (multiplicity 2)
Pa1 0.500 0.500 0.500 (multiplicity 1)
Ti1 0.500 0.500 0.000 (multiplicity 1)


Record 3
Ce2NdBi3: optimized geometry, PBE.

formation energy	-0.85	eV per atom
M_tot	3.5	Bohr magnetons per cell
uncorrected energy	-5.560	eV per atom

Cell lengths 4.605, 6.509, 13.820 Å; angles 90.00, 90.00, 90.00 degrees
Space group Immm (No. 71)
Symmetry-distinct sites (fractional):
Ce1 0.000 0.000 0.166 (multiplicity 4)
Nd1 0.000 0.000 0.500 (multiplicity 2)
Bi1 0.000 0.500 0.168 (multiplicity 4)
Bi2 0.000 0.500 0.500 (multiplicity 2)


The highest M_tot belongs to which entry? Ce2NdBi3